[1]
Computed, not measured: a relaxed RbTl6O8 crystal at the PBE level of DFT.

Values from the calculation:
DOS(E_F)   0.283 states/eV per atom
Theoretical density   6.986 g cm⁻³
SG   Fm-3m (225)
Relative energy among the computed polymorphs   317 kJ/mol of formula units
Crystal system   cubic
Magnetic moment   0.00 μB/f.u.

Structure (POSCAR):
```
RbTl6O8
1.0
6.799 0.000 3.926
2.266 6.411 3.926
0.000 0.000 7.851
O Tl Rb
8 6 1
direct
0.852 0.852 0.852
0.852 0.445 0.852
0.445 0.852 0.852
0.148 0.148 0.555
0.555 0.148 0.148
0.852 0.852 0.445
0.148 0.555 0.148
0.148 0.148 0.148
0.000 0.500 0.000
0.500 0.500 0.000
0.000 0.500 0.500
0.000 0.000 0.500
0.500 0.000 0.500
0.500 0.000 0.000
0.000 0.000 0.000
```

***

[2]
Computed, not measured: a relaxed RbTl2O crystal at the PBE level of DFT.

Values from the calculation:
DOS(E_F)   0.665 states/eV per atom
Theoretical density   7.531 g cm⁻³
SG   I-42d (122)
Relative energy among the computed polymorphs   94 kJ/mol of formula units
Crystal system   tetragonal
Magnetic moment   0.00 μB/f.u.

Structure (POSCAR):
```
RbTl2O
1.0
8.503 0.000 0.000
0.000 8.503 0.000
4.251 4.251 3.112
Tl Rb O
4 2 2
direct
0.875 0.782 0.750
0.218 0.625 0.250
0.532 0.125 0.250
0.375 0.468 0.750
0.750 0.250 0.500
0.000 0.000 0.000
0.500 0.500 0.000
0.250 0.750 0.500
```

***

[3]
Computed, not measured: a relaxed Rb2TlO crystal at the PBE level of DFT.

Values from the calculation:
DOS(E_F)   0.569 states/eV per atom
Theoretical density   5.027 g cm⁻³
SG   Fm-3m (225)
Relative energy among the computed polymorphs   256 kJ/mol of formula units
Crystal system   cubic
Magnetic moment   0.00 μB/f.u.

Structure (POSCAR):
```
Rb2TlO
1.0
2.226 1.955 4.841
-0.313 5.530 1.237
-3.408 1.786 4.172
Rb Tl O
2 1 1
direct
0.250 0.250 0.250
0.750 0.750 0.750
0.500 0.500 0.500
0.000 0.000 0.000
```

***

[4]
Computed, not measured: a relaxed RbTl2O crystal at the PBE level of DFT.

Values from the calculation:
DOS(E_F)   0.464 states/eV per atom
Theoretical density   7.588 g cm⁻³
SG   Fm-3m (225)
Relative energy among the computed polymorphs   290 kJ/mol of formula units
Crystal system   cubic
Magnetic moment   0.00 μB/f.u.

Structure (POSCAR):
```
RbTl2O
1.0
-4.858 -2.209 -0.855
-4.460 2.538 1.698
-3.382 2.214 -3.588
O Tl Rb
1 2 1
direct
0.000 0.000 0.000
0.750 0.750 0.750
0.250 0.250 0.250
0.500 0.500 0.500
```

***

[5]
Computed, not measured: a relaxed Rb2TlO crystal at the PBE level of DFT.

Values from the calculation:
DOS(E_F)   1.350 states/eV per atom
Theoretical density   4.761 g cm⁻³
SG   C2 (5)
Relative energy among the computed polymorphs   71 kJ/mol of formula units
Crystal system   monoclinic
Magnetic moment   0.32 μB/f.u.

Structure (POSCAR):
```
Rb2TlO
1.0
-2.272 -0.691 -3.006
-3.699 -0.846 0.549
-2.488 10.419 -0.557
O Rb Tl
1 2 1
direct
0.630 0.031 0.950
0.298 0.698 0.800
0.296 0.697 0.100
0.628 0.037 0.450
```

***

[6]
Computed, not measured: a relaxed Rb3TlO3 crystal at the PBE level of DFT.

Values from the calculation:
Theoretical density   5.005 g cm⁻³
SG   P2_1/c (14)
Relative energy among the computed polymorphs   0 kJ/mol of formula units
Crystal system   monoclinic
Magnetic moment   0.16 μB/f.u.

Structure (POSCAR):
```
Rb3TlO3
1.0
-0.358 -0.115 -7.256
6.772 -4.081 -0.269
-5.368 -10.470 0.430
O Rb Tl
12 12 4
direct
0.462 0.110 0.604
0.866 0.261 0.461
0.366 0.739 0.039
0.062 0.308 0.803
0.938 0.692 0.197
0.562 0.692 0.697
0.134 0.739 0.539
0.962 0.890 0.896
0.438 0.308 0.303
0.538 0.890 0.396
0.038 0.110 0.104
0.634 0.261 0.961
0.700 0.371 0.688
0.632 0.937 0.157
0.368 0.063 0.843
0.200 0.629 0.812
0.800 0.371 0.188
0.868 0.937 0.657
0.300 0.629 0.312
0.132 0.063 0.343
0.677 0.644 0.923
0.177 0.356 0.577
0.323 0.356 0.077
0.823 0.644 0.423
0.905 0.165 0.930
0.405 0.835 0.570
0.095 0.835 0.070
0.595 0.165 0.430
```

***

[7]
Computed, not measured: a relaxed Rb5Tl3O crystal at the PBE level of DFT.

Values from the calculation:
DOS(E_F)   0.205 states/eV per atom
Theoretical density   4.805 g cm⁻³
SG   Cmcm (63)
Final energy   -81.70 eV/cell
Crystal system   orthorhombic
Magnetic moment   0.00 μB/f.u.

Structure (POSCAR):
```
Rb5Tl3O
1.0
8.875 0.000 0.000
0.000 9.285 0.000
-4.438 0.000 17.722
Rb Tl O
20 12 4
direct
0.630 0.250 0.739
0.209 0.750 0.014
0.516 0.750 0.471
0.449 0.966 0.898
0.322 0.964 0.645
0.805 0.750 0.014
0.551 0.034 0.102
0.195 0.250 0.986
0.109 0.250 0.739
0.551 0.466 0.102
0.678 0.464 0.355
0.322 0.536 0.645
0.678 0.036 0.355
0.891 0.750 0.261
0.791 0.250 0.986
0.370 0.750 0.261
0.484 0.250 0.529
0.955 0.750 0.471
0.449 0.534 0.898
0.045 0.250 0.529
0.327 0.250 0.249
0.078 0.457 0.155
0.921 0.250 0.249
0.078 0.043 0.155
0.079 0.750 0.751
0.181 0.436 0.363
0.922 0.957 0.845
0.819 0.936 0.637
0.922 0.543 0.845
0.819 0.564 0.637
0.181 0.064 0.363
0.673 0.750 0.751
0.322 0.250 0.644
0.493 0.250 0.986
0.678 0.750 0.356
0.507 0.750 0.014
```

***

[8]
Computed, not measured: a relaxed Rb3TlO crystal at the PBE level of DFT.

Values from the calculation:
DOS(E_F)   1.063 states/eV per atom
Theoretical density   4.068 g cm⁻³
SG   Pm-3m (221)
Relative energy among the computed polymorphs   45 kJ/mol of formula units
Crystal system   cubic
Magnetic moment   0.99 μB/f.u.

Structure (POSCAR):
```
Rb3TlO
1.0
5.795 0.000 0.000
0.000 5.795 0.000
0.000 0.000 5.795
Rb O Tl
3 1 1
direct
0.000 0.500 0.000
0.000 0.000 0.500
0.500 0.000 0.000
0.000 0.000 0.000
0.500 0.500 0.500
```

***

> Which formula does entry 4 have?

RbTl2O

***

> Among the records above, which one has the highest magnetic moment?

Rb3TlO